1.
## NdBeNiGe2 (PBE-GGA)

Data for a relaxed NdBeNiGe2 crystal.

Cell: 4.036 4.036 5.836 Å, 110.23 110.23 90.00°
Element x y z (fractional)
1 Nd 0.000 0.000 0.000
2 Be 0.750 0.250 0.500
3 Ni 0.250 0.750 0.500
4 Ge 0.628 0.628 0.256
5 Ge 0.372 0.372 0.744

Properties
V: 16.59 Å³ per atom
Energy relative to the elements: -13.5 kcal/mol of atoms
Calculated density: 7.2 g/cm3

2.
## La2Dy3Cd2 (PBE-GGA)

Data for a relaxed La2Dy3Cd2 crystal.

Cell: 3.639 3.586 16.400 Å, 90.00 96.37 90.00°
Element x y z (fractional)
1 La 0.296 0.500 0.591
2 La 0.704 0.500 0.409
3 Dy 0.426 0.500 0.851
4 Dy 0.574 0.500 0.149
5 Dy 0.000 0.000 0.000
6 Cd 0.135 0.000 0.270
7 Cd 0.865 0.000 0.730

Properties
V: 30.39 Å³ per atom
Energy relative to the elements: -2.9 kcal/mol of atoms
Calculated density: 7.7 g/cm3

3.
## Pm2Y2HoTm (PBE-GGA)

Data for a relaxed Pm2Y2HoTm crystal.

Cell: 5.646 7.044 9.753 Å, 90.00 90.00 90.00°
Element x y z (fractional)
1 Pm 0.000 0.258 0.817
2 Pm 0.500 0.257 0.351
3 Pm 0.000 0.758 0.183
4 Pm 0.500 0.757 0.649
5 Y 0.500 0.008 0.000
6 Y 0.000 0.258 0.156
7 Y 0.500 0.508 0.000
8 Y 0.000 0.758 0.844
9 Ho 0.500 0.257 0.680
10 Ho 0.500 0.757 0.320
11 Tm 0.000 0.008 0.500
12 Tm 0.000 0.508 0.500

Properties
V: 32.32 Å³ per atom
Energy relative to the elements: 1.3 kcal/mol of atoms
Calculated density: 6.9 g/cm3

4.
## Ca5Sn2Sb6 (PBE-GGA)

Data for a relaxed Ca5Sn2Sb6 crystal.

Cell: 4.485 12.131 15.160 Å, 90.00 90.00 90.00°
Element x y z (fractional)
1 Ca 0.500 0.334 0.478
2 Ca 0.500 0.666 0.522
3 Ca 0.500 0.834 0.022
4 Ca 0.500 0.166 0.978
5 Ca 0.500 0.571 0.250
6 Ca 0.500 0.429 0.750
7 Ca 0.500 0.071 0.250
8 Ca 0.500 0.929 0.750
9 Ca 0.500 0.500 0.000
10 Ca 0.500 0.000 0.500
11 Sn 0.000 0.325 0.271
12 Sn 0.000 0.675 0.729
13 Sn 0.000 0.825 0.229
14 Sn 0.000 0.175 0.771
15 Sb 0.000 0.147 0.399
16 Sb 0.000 0.853 0.601
17 Sb 0.000 0.647 0.101
18 Sb 0.000 0.353 0.899
19 Sb 0.500 0.315 0.152
20 Sb 0.500 0.685 0.848
21 Sb 0.500 0.815 0.348
22 Sb 0.500 0.185 0.652
23 Sb 0.000 0.504 0.398
24 Sb 0.000 0.496 0.602
25 Sb 0.000 0.004 0.102
26 Sb 0.000 0.996 0.898

Properties
ΔE_f (raw): -8.97 eV/f.u.
V: 31.72 Å³ per atom
Calculated density: 4.7 g/cm3

5.
## La2AuCl (PBE-GGA)

Data for a relaxed La2AuCl crystal.

Cell: 3.769 3.739 8.271 Å, 89.66 90.00 90.00°
Element x y z (fractional)
1 Cl 0.500 0.750 0.750
2 Au 0.500 0.250 0.250
3 La 0.000 0.752 0.025
4 La 0.000 0.748 0.475

Properties
Polymorph energy (0 for the lowest one): 90 meV/atom
ΔE_f (raw): -4.43 eV/f.u.
V: 29.14 Å³ per atom
Calculated density: 7.3 g/cm3

6.
## Tl2InAg (PBE-GGA)

Data for a relaxed Tl2InAg crystal.

Cell: 10.331 10.331 10.331 Å, 19.17 19.17 19.17°
Element x y z (fractional)
1 Tl 0.995 0.995 0.995
2 Tl 0.505 0.505 0.505
3 Ag 0.250 0.250 0.250
4 In 0.750 0.750 0.750

Properties
Polymorph energy (0 for the lowest one): 57 meV/atom
V: 25.98 Å³ per atom
Energy relative to the elements: 2.3 kcal/mol of atoms
Calculated density: 10.1 g/cm3

7.
## La2ZnHgH (PBE-GGA)

Data for a relaxed La2ZnHgH crystal.

Cell: 5.246 5.246 4.113 Å, 90.00 90.00 90.00°
Element x y z (fractional)
1 H 0.000 0.000 0.000
2 Zn 0.000 0.000 0.500
3 Hg 0.500 0.500 0.500
4 La 0.000 0.500 0.000
5 La 0.500 0.000 0.000

Properties
Polymorph energy (0 for the lowest one): 0 meV/atom
V: 22.64 Å³ per atom
Calculated density: 8.0 g/cm3

8.
## Sn2GeTeCl (PBE-GGA)

Data for a relaxed Sn2GeTeCl crystal.

Cell: 6.017 5.336 6.017 Å, 90.00 90.00 90.00°
Element x y z (fractional)
1 Ge 0.000 0.500 0.000
2 Te 0.000 0.000 0.000
3 Sn 0.000 0.000 0.500
4 Sn 0.500 0.000 0.000
5 Cl 0.500 0.500 0.500

Properties
ΔE_f (raw): 2.77 eV/f.u.
V: 38.63 Å³ per atom
Calculated density: 4.1 g/cm3

9.
## Y2MgIrN (PBE-GGA)

Data for a relaxed Y2MgIrN crystal.

Cell: 4.773 4.773 4.071 Å, 90.00 90.00 90.00°
Element x y z (fractional)
1 Y 0.000 0.500 0.000
2 Y 0.500 0.000 0.000
3 Mg 0.000 0.000 0.500
4 Ir 0.500 0.500 0.500
5 N 0.000 0.000 0.000

Properties
ΔE_f (raw): -4.10 eV/f.u.
V: 18.55 Å³ per atom
Calculated density: 7.3 g/cm3

10.
## La3Nd3Sm (PBE-GGA)

Data for a relaxed La3Nd3Sm crystal.

Cell: 5.980 9.907 9.907 Å, 120.00 90.00 90.00°
Element x y z (fractional)
1 La 0.750 0.194 0.952
2 La 0.750 0.759 0.806
3 La 0.250 0.952 0.759
4 La 0.750 0.048 0.241
5 La 0.250 0.241 0.194
6 La 0.250 0.806 0.048
7 Nd 0.750 0.479 0.384
8 Nd 0.750 0.905 0.521
9 Nd 0.250 0.384 0.905
10 Nd 0.750 0.616 0.095
11 Nd 0.250 0.095 0.479
12 Nd 0.250 0.521 0.616
13 Sm 0.250 0.667 0.333
14 Sm 0.750 0.333 0.667

Properties
Polymorph energy (0 for the lowest one): 0 meV/atom
V: 36.31 Å³ per atom
Energy relative to the elements: 0.8 kcal/mol of atoms
Calculated density: 6.5 g/cm3

11.
## InH6Ir2Pt (PBE-GGA)

Data for a relaxed InH6Ir2Pt crystal.

Cell: 6.068 6.068 5.247 Å, 93.92 93.92 89.88°
Element x y z (fractional)
1 In 0.131 0.869 0.250
2 In 0.869 0.131 0.750
3 H 0.937 0.486 0.305
4 H 0.514 0.063 0.195
5 H 0.063 0.514 0.695
6 H 0.486 0.937 0.805
7 H 0.162 0.360 0.104
8 H 0.640 0.838 0.396
9 H 0.838 0.640 0.896
10 H 0.360 0.162 0.604
11 H 0.427 0.378 0.390
12 H 0.622 0.573 0.110
13 H 0.573 0.622 0.610
14 H 0.378 0.427 0.890
15 Ir 0.320 0.159 0.925
16 Ir 0.841 0.680 0.575
17 Ir 0.680 0.841 0.075
18 Ir 0.159 0.320 0.425
19 Pt 0.699 0.301 0.250
20 Pt 0.301 0.699 0.750

Properties
E: -45.45 eV per formula unit
V: 9.61 Å³ per atom
Calculated density: 12.1 g/cm3

12.
## Co2SnN (PBE-GGA)

Data for a relaxed Co2SnN crystal.

Cell: 4.155 4.155 4.155 Å, 60.00 60.00 60.00°
Each line ends with the local moment (μB).
Element x y z (fractional)
1 Co 0.250 0.250 0.250  1.32
2 Co 0.750 0.750 0.750  1.32
3 Sn 0.500 0.500 0.500  -0.09
4 N 0.000 0.000 0.000  0.32

Properties
Polymorph energy (0 for the lowest one): 883 meV/atom
ΔE_f (raw): 4.11 eV/f.u.
V: 12.68 Å³ per atom
Calculated density: 8.2 g/cm3